Compound: CaB3H13O12
Source: Alexandria
Functional: GGA-PBE
Structure: optimized geometry

Values from the calculation:
mass density	1.9	g/cm³
crystal system	monoclinic
E_tot	-5.899	eV per atom

Cell lengths 8.3810, 10.5291, 12.0538 Å; angles 90.00, 90.00, 112.73 degrees
Last column: nearest neighbours and their distance in Å.
Element x y z (fractional)
O 0.3657 0.4495 0.7110  1 H 0.98
O 0.9024 0.3065 0.8366  2 H 0.99-1.00
O 0.2896 0.2825 0.3474  1 H 0.99
O 0.4221 0.1804 0.1369  2 B 1.36-1.49
O 0.9247 0.8350 0.5110  2 B 1.37-1.49
O 0.2104 0.2175 0.8474  1 H 0.99
O 0.8438 0.6340 0.0135  1 H 1.01
O 0.0509 0.4382 0.3428  2 H 0.99
O 0.0870 0.7306 0.8502  2 H 1.00
O 0.1562 0.1366 0.0298  2 B 1.47
O 0.4024 0.8065 0.6634  2 H 0.99-1.00
O 0.8160 0.0491 0.3369  2 H 0.99-1.00
O 0.8657 0.9495 0.7890  1 H 0.98
O 0.6562 0.8660 0.5135  1 H 1.01
O 0.0779 0.3196 0.6369  2 B 1.36-1.49
O 0.6562 0.6366 0.4702  2 B 1.47
O 0.2572 0.9536 0.0630  1 H 0.99
O 0.7572 0.4536 0.4370  1 H 0.99
O 0.6840 0.4509 0.8369  2 H 0.99-1.00
O 0.7104 0.7175 0.6526  1 H 0.99
O 0.3438 0.1340 0.4865  1 H 1.01
O 0.5779 0.8196 0.8631  2 B 1.36-1.49
O 0.5509 0.9382 0.1572  2 H 0.99
O 0.8302 0.1177 0.6080  1 H 1.00
O 0.5753 0.6650 0.0110  2 B 1.37-1.49
O 0.6698 0.3823 0.1080  1 H 1.00
O 0.1562 0.3660 0.9865  1 H 1.01
O 0.1343 0.0505 0.2110  1 H 0.98
O 0.4247 0.3350 0.9890  2 B 1.37-1.49
O 0.8438 0.8634 0.9702  2 B 1.47
O 0.5976 0.1935 0.3366  2 H 0.99-1.00
O 0.2428 0.5464 0.5630  1 H 0.99
O 0.0976 0.6935 0.1634  2 H 0.99-1.00
O 0.7428 0.0464 0.9370  1 H 0.99
O 0.9130 0.2694 0.1498  2 H 1.00
O 0.4130 0.7694 0.3502  2 H 1.00
O 0.1840 0.9509 0.6631  2 H 0.99-1.00
O 0.6343 0.5505 0.2890  1 H 0.98
O 0.9221 0.6804 0.3631  2 B 1.36-1.49
O 0.4491 0.0618 0.8428  2 H 0.99
O 0.3438 0.3634 0.5298  2 B 1.47
O 0.1698 0.8823 0.3920  1 H 1.00
O 0.3160 0.5491 0.1631  2 H 0.99-1.00
O 0.7896 0.7825 0.1526  1 H 0.99
O 0.5870 0.2306 0.6498  2 H 1.00
O 0.3302 0.6177 0.8920  1 H 1.00
O 0.9491 0.5618 0.6572  2 H 0.99
O 0.0753 0.1650 0.4890  2 B 1.37-1.49
H 0.5025 0.1267 0.7817  1 O 0.99
H 0.6779 0.1942 0.6335  1 O 1.00
H 0.0444 0.5483 0.6165  1 O 0.99
H 0.7508 0.5268 0.8872  1 O 0.99
H 0.9233 0.0983 0.3807  1 O 1.00
H 0.0374 0.6825 0.2361  1 O 1.00
H 0.0594 0.3495 0.9318  1 O 1.01
H 0.7785 0.0291 0.5655  1 O 1.00
H 0.5444 0.0483 0.8835  1 O 0.99
H 0.7492 0.9732 0.3872  1 O 0.99
H 0.8116 0.1326 0.8974  1 O 0.99
H 0.6762 0.1431 0.3320  1 O 0.99
H 0.5374 0.1825 0.2639  1 O 1.00
H 0.7342 0.7071 0.2059  1 O 0.99
H 0.0025 0.6267 0.7183  1 O 0.99
H 0.1779 0.6942 0.8665  1 O 1.00
H 0.3519 0.5182 0.7610  1 O 0.98
H 0.9975 0.3733 0.2817  1 O 0.99
H 0.1884 0.8674 0.1026  1 O 0.99
H 0.2508 0.0268 0.6128  1 O 0.99
H 0.6884 0.3674 0.3974  1 O 0.99
H 0.9406 0.6505 0.0682  1 O 1.01
H 0.3116 0.6326 0.6026  1 O 0.99
H 0.7658 0.7929 0.7059  1 O 0.99
H 0.4556 0.9517 0.1165  1 O 0.99
H 0.9958 0.6906 0.9082  1 O 1.00
H 0.4975 0.8733 0.2183  1 O 0.99
H 0.2492 0.4732 0.1128  1 O 0.99
H 0.5594 0.8495 0.5682  1 O 1.01
H 0.4406 0.1505 0.4318  1 O 1.01
H 0.0767 0.9017 0.6193  1 O 1.00
H 0.1762 0.6431 0.1680  1 O 0.99
H 0.2215 0.9709 0.4345  1 O 1.00
H 0.5767 0.4017 0.8807  1 O 1.00
H 0.6481 0.4818 0.2390  1 O 0.98
H 0.4233 0.5983 0.1193  1 O 1.00
H 0.2785 0.5291 0.9345  1 O 1.00
H 0.8221 0.3058 0.1335  1 O 1.00
H 0.9556 0.4517 0.3835  1 O 0.99
H 0.8238 0.3569 0.8320  1 O 0.99
H 0.8519 0.0182 0.7390  1 O 0.98
H 0.4626 0.8175 0.7361  1 O 1.00
H 0.3221 0.8058 0.3665  1 O 1.00
H 0.5042 0.8094 0.4082  1 O 1.00
H 0.9626 0.3175 0.7639  1 O 1.00
H 0.1481 0.9818 0.2610  1 O 0.98
H 0.3238 0.8569 0.6680  1 O 0.99
H 0.7215 0.4709 0.0655  1 O 1.00
H 0.4958 0.1906 0.5918  1 O 1.00
H 0.0042 0.3094 0.0918  1 O 1.00
H 0.2342 0.2071 0.2941  1 O 0.99
H 0.2658 0.2929 0.7941  1 O 0.99
B 0.7626 0.7380 0.0368  4 O 1.46-1.52
B 0.4989 0.7026 0.9238  3 O 1.36-1.40
B 0.7374 0.7620 0.5368  4 O 1.46-1.52
B 0.2374 0.2620 0.9632  4 O 1.46-1.52
B 0.0011 0.7974 0.4238  3 O 1.36-1.40
B 0.2560 0.4196 0.6100  4 O 1.47-1.49
B 0.2440 0.0804 0.1100  4 O 1.47-1.49
B 0.7440 0.5804 0.3900  4 O 1.47-1.49
B 0.7560 0.9196 0.8900  4 O 1.47-1.49
B 0.5011 0.2974 0.0762  3 O 1.36-1.40
B 0.9989 0.2026 0.5762  3 O 1.36-1.40
B 0.2626 0.2380 0.4632  4 O 1.46-1.52
Ca 0.1463 0.9786 0.8707  8 O 2.37-2.64
Ca 0.6463 0.4786 0.6293  8 O 2.37-2.64
Ca 0.3537 0.5214 0.3707  8 O 2.37-2.64
Ca 0.8537 0.0214 0.1293  8 O 2.37-2.64

=====

Compound: Ca2B8H2O15
Source: Alexandria
Functional: GGA-PBE
Structure: optimized geometry

Values from the calculation:
mass density	2.5	g/cm³
crystal system	triclinic
E_tot	-7.582	eV per atom

Cell lengths 6.4827, 9.4338, 10.2631 Å; angles 117.01, 91.91, 98.25 degrees
Last column: nearest neighbours and their distance in Å.
Element x y z (fractional)
O 0.6446 0.8901 0.2061  2 B 1.37-1.52
O 0.3679 0.4021 0.7748  2 B 1.35-1.47
O 0.4345 0.6792 0.4280  2 B 1.38-1.48
O 0.6379 0.1796 0.3265  2 B 1.38-1.50
O 0.6471 0.3089 0.1138  2 B 1.37-1.51
O 0.7159 0.5474 0.8106  2 B 1.35-1.48
O 0.3347 0.7253 0.2229  2 B 1.37-1.47
O 0.3554 0.1099 0.7939  2 B 1.37-1.52
O 0.9994 0.7562 0.9284  2 B 1.37-1.49
O 0.7092 0.1016 0.8749  2 B 1.40-1.50
O 0.3621 0.8204 0.6735  2 B 1.38-1.50
O 0.3529 0.6911 0.8862  2 B 1.37-1.51
O 0.2815 0.9536 0.9248  2 B 1.44-1.46
O 0.6653 0.2747 0.7771  2 B 1.37-1.47
O 0.2908 0.8984 0.1251  2 B 1.40-1.50
O 0.9436 0.5161 0.1565  2 B 1.39-1.41
O 0.2841 0.4526 0.1894  2 B 1.35-1.48
O 0.0006 0.2438 0.0716  2 B 1.37-1.49
O 0.8239 0.9066 0.5201  1 H 0.98
O 0.7185 0.0464 0.0752  2 B 1.44-1.46
O 0.5655 0.3208 0.5720  2 B 1.38-1.48
O 0.0924 0.7479 0.4762  2 B 1.37-1.49
O 0.9653 0.0712 0.2717  2 B 1.45-1.46
O 0.0564 0.4839 0.8435  2 B 1.39-1.41
O 0.2153 0.3100 0.4076  1 H 0.98
O 0.0347 0.9288 0.7283  2 B 1.45-1.46
O 0.1761 0.0934 0.4799  1 H 0.98
O 0.6321 0.5979 0.2252  2 B 1.35-1.47
O 0.7847 0.6900 0.5924  1 H 0.98
O 0.9076 0.2521 0.5238  2 B 1.37-1.49
B 0.9352 0.8141 0.5812  4 O 1.45-1.52
B 0.5675 0.1635 0.8172  3 O 1.37-1.40
B 0.2920 0.7468 0.5250  3 O 1.37-1.38
B 0.7295 0.4688 0.1630  3 O 1.35-1.41
B 0.7467 0.0520 0.2191  4 O 1.46-1.52
B 0.2705 0.5312 0.8370  3 O 1.35-1.41
B 0.2533 0.9480 0.7809  4 O 1.46-1.52
B 0.2282 0.8244 0.9629  4 O 1.44-1.51
B 0.0773 0.4070 0.1392  3 O 1.35-1.39
B 0.5822 0.3860 0.7340  4 O 1.47-1.48
B 0.7718 0.1756 0.0371  4 O 1.44-1.51
B 0.0648 0.1859 0.4188  4 O 1.45-1.52
B 0.4178 0.6140 0.2660  4 O 1.47-1.48
B 0.9227 0.5930 0.8608  3 O 1.35-1.39
B 0.7080 0.2532 0.4750  3 O 1.37-1.38
B 0.4325 0.8365 0.1828  3 O 1.37-1.40
Ca 0.6748 0.8204 0.8313  7 O 2.38-2.56
Ca 0.9815 0.8211 0.2858  8 O 2.45-2.70
Ca 0.0185 0.1789 0.7142  8 O 2.45-2.70
Ca 0.3252 0.1796 0.1687  7 O 2.38-2.56
H 0.6738 0.8599 0.4971  1 O 0.98
H 0.3262 0.1401 0.5029  1 O 0.98
H 0.3362 0.3511 0.4836  1 O 0.98
H 0.6638 0.6489 0.5164  1 O 0.98

=====

Compound: CaSiBHO5
Source: Alexandria
Functional: GGA-PBE
Structure: optimized geometry

Values from the calculation:
mass density	2.9	g/cm³
crystal system	monoclinic
E_tot	-7.243	eV per atom

Cell lengths 7.7005, 4.9098, 9.7059 Å; angles 89.82, 90.00, 90.00 degrees
Last column: nearest neighbours and their distance in Å.
Element x y z (fractional)
H 0.0341 0.1974 0.0763  1 O 0.98
H 0.4659 0.1974 0.5763  1 O 0.98
H 0.5341 0.8026 0.4237  1 O 0.98
H 0.9659 0.8026 0.9237  1 O 0.98
O 0.3997 0.2374 0.9626  1 Si 1.60
O 0.4135 0.3127 0.3535  1 B 1.48
O 0.4161 0.2613 0.6635  1 H 0.98
O 0.6988 0.3330 0.4572  1 B 1.49, 1 Si 1.66
O 0.0839 0.2613 0.1635  1 H 0.98
O 0.8012 0.3330 0.9572  1 B 1.49, 1 Si 1.66
O 0.8341 0.3288 0.7104  1 B 1.48
O 0.6659 0.3288 0.2104  1 B 1.48
O 0.1988 0.6670 0.0428  1 B 1.49, 1 Si 1.66
O 0.3012 0.6670 0.5428  1 B 1.49, 1 Si 1.66
O 0.9161 0.7387 0.8365  1 H 0.98
O 0.1659 0.6712 0.2896  1 B 1.48
O 0.1003 0.2374 0.4626  1 Si 1.60
O 0.6003 0.7626 0.0374  1 Si 1.60
O 0.5839 0.7387 0.3365  1 H 0.98
O 0.5865 0.6873 0.6465  1 B 1.48
O 0.8997 0.7626 0.5374  1 Si 1.60
O 0.0865 0.3127 0.8535  1 B 1.48
O 0.9135 0.6873 0.1465  1 B 1.48
O 0.3341 0.6712 0.7896  1 B 1.48
Si 0.2355 0.4656 0.4154  4 O 1.60-1.68
Si 0.7355 0.5344 0.0846  4 O 1.60-1.68
Si 0.7645 0.5344 0.5846  4 O 1.60-1.68
Si 0.2645 0.4656 0.9154  4 O 1.60-1.68
B 0.9105 0.4326 0.8403  4 O 1.48-1.50
B 0.0895 0.5674 0.1597  4 O 1.48-1.50
B 0.5895 0.4326 0.3403  4 O 1.48-1.50
B 0.4105 0.5674 0.6597  4 O 1.48-1.50
Ca 0.6056 0.0109 0.8375  5 O 2.29-2.55
Ca 0.8944 0.0109 0.3375  5 O 2.29-2.55
Ca 0.1056 0.9891 0.6625  5 O 2.29-2.55
Ca 0.3944 0.9891 0.1625  5 O 2.29-2.55

=====

Compound: CaB2H8Pd
Source: Alexandria
Functional: GGA-PBE
Structure: optimized geometry

Values from the calculation:
mass density	2.6	g/cm³
crystal system	trigonal
E_tot	-4.146	eV per atom

Cell lengths 4.6483, 4.6483, 6.0443 Å; angles 90.00, 90.00, 120.00 degrees
Last column: nearest neighbours and their distance in Å.
Element x y z (fractional)
H 0.8108 0.1892 0.2045  1 B 1.26
H 0.6667 0.3333 0.4886  1 B 1.24
H 0.6215 0.8108 0.7955  1 B 1.26
H 0.1892 0.3785 0.7955  1 B 1.26
H 0.3785 0.1892 0.2045  1 B 1.26
H 0.3333 0.6667 0.5114  1 B 1.24
H 0.1892 0.8108 0.7955  1 B 1.26
H 0.8108 0.6215 0.2045  1 B 1.26
Pd 0.0000 0.0000 0.0000  6 H 1.96
B 0.6667 0.3333 0.2842  4 H 1.24-1.26
B 0.3333 0.6667 0.7158  4 H 1.24-1.26
Ca 0.0000 0.0000 0.5000  6 H 2.35

=====

Compound: Ca2BHPt6
Source: Alexandria
Functional: GGA-PBE
Structure: optimized geometry

Values from the calculation:
mass density	13.9	g/cm³
crystal system	monoclinic
E_tot	-5.669	eV per atom

Cell lengths 5.9653, 5.9654, 5.9480 Å; angles 60.19, 60.19, 89.92 degrees
Last column: nearest neighbours and their distance in Å.
Element x y z (fractional)
Ca 0.2492 0.7509 0.5000  12 Pt 2.97-3.00
Ca 0.7509 0.2491 0.5000  12 Pt 2.97-3.00
H 0.5000 0.5000 0.0000  6 Pt 2.07-2.08
Pt 0.7448 0.7448 0.5089  1 H 2.08, 1 B 2.15
Pt 0.2552 0.2552 0.4911  1 H 2.08, 1 B 2.15
Pt 0.2544 0.7456 0.0000  1 H 2.07, 1 B 2.14
Pt 0.2551 0.2551 0.9981  1 H 2.08, 1 B 2.15
Pt 0.7456 0.2544 0.0000  1 H 2.07, 1 B 2.14
Pt 0.7449 0.7449 0.0019  1 H 2.08, 1 B 2.15
B 0.0000 0.0000 0.0000  6 Pt 2.14-2.15

=====

Compound: CaTaBH2
Source: Alexandria
Functional: GGA-PBE
Structure: optimized geometry

Values from the calculation:
mass density	4.5	g/cm³
crystal system	tetragonal
E_tot	-4.398	eV per atom
relative energy among the computed polymorphs	272	meV/atom

Cell lengths 3.5114, 7.0497, 3.5114 Å; angles 90.00, 90.00, 90.00 degrees
Last column: nearest neighbours and their distance in Å.
Element x y z (fractional)
B 0.5000 0.5000 0.5000  4 Ta 2.48
H 0.0000 0.0000 0.5000  2 Ca 1.76
H 0.5000 0.0000 0.0000  2 Ca 1.76
Ca 0.0000 0.0000 0.0000  4 H 1.76
Ta 0.0000 0.5000 0.0000  4 B 2.48

=====

Compound: CaTaBH2
Source: Alexandria
Functional: GGA-PBE
Structure: optimized geometry

Values from the calculation:
mass density	6.0	g/cm³
crystal system	tetragonal
E_tot	-4.670	eV per atom
relative energy among the computed polymorphs	0	meV/atom

Cell lengths 3.5133, 5.2764, 3.5133 Å; angles 90.00, 90.00, 90.00 degrees
Last column: nearest neighbours and their distance in Å.
Element x y z (fractional)
B 0.0000 0.5000 0.0000  4 Ta 2.48, 2 Ca 2.64
H 0.0000 0.0000 0.5000  2 Ca 1.76
H 0.5000 0.0000 0.0000  2 Ca 1.76
Ta 0.5000 0.5000 0.5000  4 B 2.48
Ca 0.0000 0.0000 0.0000  4 H 1.76

=====

Compound: CaTc2BH
Source: Alexandria
Functional: GGA-PBE
Structure: optimized geometry

Values from the calculation:
mass density	5.8	g/cm³
crystal system	tetragonal
E_tot	-4.104	eV per atom

Cell lengths 4.6991, 3.2220, 4.6991 Å; angles 90.00, 90.00, 90.00 degrees
Last column: nearest neighbours and their distance in Å.
Element x y z (fractional)
Tc 0.0000 0.0000 0.5000  2 Ca 2.35
Tc 0.5000 0.0000 0.0000  2 Ca 2.35
B 0.5000 0.5000 0.5000  8 Tc 2.85
H 0.0000 0.5000 0.0000  2 Ca 1.61
Ca 0.0000 0.0000 0.0000  2 H 1.61